(1)
The following is a DFT calculation (PBEsol) of a relaxed Tl3AgI5 crystal.

Cell: 10.285 10.285 13.027 Å, 90.00 90.00 120.00°
Fractional coordinates of all 36 atoms:
Tl  0.389  0.364  0.750
I  0.333  0.667  0.639
I  0.994  0.244  0.250
Ag  0.000  0.000  0.620
Tl  0.025  0.636  0.250
Tl  0.000  0.373  0.500
I  0.749  0.000  0.000
Tl  0.373  0.000  0.500
I  0.333  0.667  0.108
Ag  0.000  0.000  0.120
I  0.249  0.006  0.250
I  0.333  0.667  0.392
I  0.667  0.333  0.139
I  0.667  0.333  0.361
I  0.749  0.000  0.500
Tl  0.975  0.611  0.750
Tl  0.373  0.000  0.000
Tl  0.627  0.627  0.000
I  0.756  0.751  0.250
Ag  0.000  0.000  0.880
Tl  0.000  0.373  0.000
I  0.000  0.749  0.000
I  0.333  0.667  0.861
I  0.667  0.333  0.608
I  0.006  0.249  0.750
I  0.244  0.994  0.750
I  0.251  0.251  0.500
Tl  0.636  0.025  0.750
Ag  0.000  0.000  0.380
Tl  0.627  0.627  0.500
I  0.751  0.756  0.750
I  0.000  0.749  0.500
Tl  0.364  0.389  0.250
Tl  0.611  0.975  0.250
I  0.667  0.333  0.892
I  0.251  0.251  0.000

Summary:
M_tot: 0.000 μB per atom
formation energy from raw total energies: -0.4402 eV/atom
SG: P-62c
calculated volume: 33.1 A^3/atom

(2)
The following is a DFT calculation (PBEsol) of a relaxed MgRe2AgB crystal.

Cell: 4.385 4.580 4.580 Å, 90.00 90.00 90.00°
Site moments in Bohr magnetons follow the coordinates.
Fractional coordinates of all 5 atoms:
B  0.500  0.500  0.500  -0.10
Re  0.000  0.500  0.000  1.60
Re  0.000  0.000  0.500  1.60
Mg  0.000  0.000  0.000  0.01
Ag  0.500  0.000  0.000  0.04

Summary:
energy of formation from the pure elements: 3.179 eV/atom
M_tot: 0.707 μB per atom
SG: P4/mmm
calculated volume: 18.4 A^3/atom

(3)
The following is a DFT calculation (PBEsol) of a relaxed SrMnW crystal.

Cell: 3.180 3.180 6.923 Å, 90.00 90.00 120.00°
Site moments in Bohr magnetons follow the coordinates.
Fractional coordinates of all 3 atoms:
Sr  0.333  0.667  0.681  -0.01
Mn  0.000  0.000  0.055  0.74
W  0.667  0.333  0.264  -0.18

Summary:
energy of formation from the pure elements: 1.066 eV/atom
polymorph energy (0 for the lowest one): 0.303 eV/atom
M_tot: 0.183 μB per atom
SG: P3m1
calculated volume: 20.2 A^3/atom

(4)
The following is a DFT calculation (PBEsol) of a relaxed SiHg2Sb crystal.

Cell: 3.229 5.123 5.331 Å, 90.00 90.00 90.00°
Fractional coordinates of all 4 atoms:
Hg  0.000  0.000  0.000
Si  0.000  0.500  0.500
Sb  0.500  0.000  0.500
Hg  0.500  0.500  0.000

Summary:
polymorph energy (0 for the lowest one): 0.197 eV/atom
M_tot: 0.000 μB per atom
formation energy from raw total energies: 0.3354 eV/atom
SG: Pmmm
calculated volume: 22.0 A^3/atom

(5)
The following is a DFT calculation (PBEsol) of a relaxed RbHgS2 crystal.

Cell: 6.575 6.575 6.575 Å, 108.94 108.94 110.55°
Fractional coordinates of all 8 atoms:
Rb  0.750  0.250  0.500
S  0.125  0.710  0.085
S  0.960  0.875  0.585
S  0.625  0.040  0.915
Hg  0.250  0.750  0.500
Rb  0.500  0.500  0.000
Hg  0.000  0.000  0.000
S  0.290  0.375  0.415

Summary:
M_tot: 0.000 μB per atom
formation energy from raw total energies: -0.4000 eV/atom
SG: I-42d
calculated volume: 27.3 A^3/atom

(6)
The following is a DFT calculation (PBEsol) of a relaxed Rb2Mo3O10 crystal.

Cell: 8.151 8.194 9.135 Å, 96.97 90.00 119.82°
Fractional coordinates of all 30 atoms:
O  0.346  0.238  0.680
O  0.858  0.600  0.420
O  0.634  0.105  0.384
Mo  0.820  0.786  0.479
O  0.050  0.721  0.119
O  0.142  0.400  0.580
Mo  0.712  0.000  0.250
O  0.529  0.895  0.116
O  0.950  0.279  0.881
Rb  0.231  0.635  0.341
Mo  0.180  0.214  0.521
Mo  0.966  0.786  0.979
O  0.366  0.895  0.616
O  0.742  0.600  0.920
Mo  0.034  0.214  0.021
O  0.894  0.951  0.093
O  0.471  0.105  0.884
O  0.057  0.951  0.593
Rb  0.769  0.365  0.659
Rb  0.403  0.635  0.841
Mo  0.288  0.000  0.750
Rb  0.597  0.365  0.159
O  0.892  0.238  0.180
O  0.943  0.049  0.407
O  0.106  0.049  0.907
O  0.671  0.721  0.619
O  0.329  0.279  0.381
O  0.654  0.762  0.320
O  0.258  0.400  0.080
O  0.108  0.762  0.820

Summary:
M_tot: 0.000 μB per atom
formation energy from raw total energies: -2.0706 eV/atom
SG: C2/c
calculated volume: 17.5 A^3/atom

(7)
The following is a DFT calculation (PBEsol) of a relaxed PrAl20Cr2 crystal.

Cell: 10.166 10.166 10.166 Å, 60.00 60.00 60.00°
Site moments in Bohr magnetons follow the coordinates.
Fractional coordinates of all 46 atoms:
Al  0.797  0.797  0.068  0.00
Al  0.068  0.337  0.797  0.00
Al  0.453  0.453  0.182  0.00
Al  0.125  0.125  0.625  0.01
Al  0.453  0.182  0.913  0.00
Al  0.125  0.625  0.125  0.01
Al  0.182  0.453  0.913  0.00
Al  0.453  0.913  0.182  0.00
Al  0.182  0.453  0.453  0.00
Al  0.068  0.797  0.797  0.00
Al  0.625  0.125  0.125  0.01
Pr  0.250  0.250  0.250  0.02
Al  0.364  0.636  0.364  -0.01
Al  0.614  0.886  0.614  -0.01
Al  0.337  0.797  0.797  0.00
Al  0.453  0.453  0.913  0.00
Al  0.125  0.125  0.125  0.01
Al  0.614  0.614  0.886  -0.01
Al  0.453  0.182  0.453  0.00
Al  0.636  0.364  0.364  -0.01
Cr  0.625  0.625  0.125  0.76
Al  0.797  0.797  0.337  0.00
Al  0.913  0.453  0.453  0.00
Al  0.337  0.797  0.068  0.00
Al  0.068  0.797  0.337  0.00
Pr  0.000  0.000  0.000  0.02
Al  0.913  0.182  0.453  0.00
Cr  0.125  0.625  0.625  0.76
Al  0.797  0.337  0.068  0.00
Al  0.797  0.337  0.797  0.00
Al  0.797  0.068  0.797  0.00
Cr  0.625  0.125  0.625  0.76
Al  0.364  0.636  0.636  -0.01
Al  0.614  0.886  0.886  -0.01
Al  0.886  0.886  0.614  -0.01
Cr  0.625  0.625  0.625  0.76
Al  0.886  0.614  0.614  -0.01
Al  0.886  0.614  0.886  -0.01
Al  0.636  0.636  0.364  -0.01
Al  0.337  0.068  0.797  0.00
Al  0.636  0.364  0.636  -0.01
Al  0.453  0.913  0.453  0.00
Al  0.913  0.453  0.182  0.00
Al  0.797  0.068  0.337  0.00
Al  0.182  0.913  0.453  0.00
Al  0.364  0.364  0.636  -0.01

Summary:
energy of formation from the pure elements: -0.144 eV/atom
M_tot: 0.069 μB per atom
SG: Fd-3m
calculated volume: 16.2 A^3/atom

(8)
The following is a DFT calculation (PBEsol) of a relaxed Pr3InN crystal.

Cell: 5.016 5.016 5.016 Å, 90.00 90.00 90.00°
Fractional coordinates of all 5 atoms:
N  0.500  0.500  0.500
Pr  0.500  0.500  0.000
In  0.000  0.000  0.000
Pr  0.000  0.500  0.500
Pr  0.500  0.000  0.500

Summary:
M_tot: 0.000 μB per atom
formation energy from raw total energies: -0.9080 eV/atom
SG: Pm-3m
calculated volume: 25.2 A^3/atom

Number 1: energy -95.99 eV per cell. Number 2: energy -22.81 eV per cell. Number 3: energy -22.21 eV per cell. Number 4: energy -10.10 eV per cell. Number 5: energy -23.92 eV per cell. Number 6: energy -241.81 eV per cell. Number 7: energy -221.61 eV per cell. Number 8: energy -31.60 eV per cell.